First-principles (PBE-GGA) data for Tl2FeRe after structural relaxation, as listed in Alexandria via LeMat-Bulk.

Output
Formation enthalpy at 0 K: 3.8 eV per formula unit
Uncorrected energy: -65.41 eV/cell

a b c (Å): 3.0671 3.0671 27.3426
angles (deg): 90.00 90.00 120.00
Space group R-3m (No. 166, hexagonal axes)
Symmetry-distinct sites (fractional):
Tl 0.0000 0.0000 0.2478 x6
Fe 0.0000 0.0000 0.5000 x3
Re 0.0000 0.0000 0.0000 x3

=====

First-principles (PBE-GGA) data for TlFeRe2 after structural relaxation, as listed in Alexandria via LeMat-Bulk.

Output
Formation enthalpy at 0 K: 3.5 eV per formula unit
Uncorrected energy: -32.19 eV/cell

a b c (Å): 3.8713 3.8713 4.2360
angles (deg): 90.00 90.00 90.00
Space group P4/mmm (No. 123)
Symmetry-distinct sites (fractional):
Tl 0.0000 0.0000 0.0000 x1
Fe 0.5000 0.5000 0.0000 x1
Re 0.0000 0.5000 0.5000 x2

=====

First-principles (PBE-GGA) data for Tl2FeRe after structural relaxation, as listed in Alexandria via LeMat-Bulk.

Output
Formation enthalpy at 0 K: 2.2 eV per formula unit
Uncorrected energy: -23.43 eV/cell

a b c (Å): 2.9879 2.9879 9.1569
angles (deg): 90.00 90.00 90.00
Space group P4mm (No. 99)
Symmetry-distinct sites (fractional):
Tl 0.0000 0.0000 0.0000 x1
Tl 0.5000 0.5000 0.3569 x1
Fe 0.0000 0.0000 0.6010 x1
Re 0.5000 0.5000 0.7414 x1

=====

First-principles (PBE-GGA) data for Tl2FeRe after structural relaxation, as listed in Alexandria via LeMat-Bulk.

Output
Formation enthalpy at 0 K: 3.4 eV per formula unit
Uncorrected energy: -44.39 eV/cell

a b c (Å): 4.1336 3.6937 10.3845
angles (deg): 90.00 90.00 90.00
Space group Amm2 (No. 38)
Symmetry-distinct sites (fractional):
Tl 0.0000 0.0000 0.0000 x2
Tl 0.5000 0.0000 0.3087 x2
Fe 0.5000 0.0000 0.5949 x2
Re 0.0000 0.0000 0.7189 x2

=====

First-principles (PBE-GGA) data for Tl2FeRe after structural relaxation, as listed in Alexandria via LeMat-Bulk.

Output
Formation enthalpy at 0 K: 4.2 eV per formula unit
Uncorrected energy: -21.47 eV/cell

a b c (Å): 3.0035 4.8001 5.3223
angles (deg): 90.00 90.00 90.00
Space group Pmmm (No. 47)
Symmetry-distinct sites (fractional):
Tl 0.0000 0.0000 0.0000 x1
Tl 0.5000 0.0000 0.5000 x1
Fe 0.0000 0.5000 0.5000 x1
Re 0.5000 0.5000 0.0000 x1

=====

First-principles (PBE-GGA) data for TlFe2Re after structural relaxation, as listed in Alexandria via LeMat-Bulk.

Output
Formation enthalpy at 0 K: 2.0 eV per formula unit
Uncorrected energy: -29.69 eV/cell

a b c (Å): 2.9033 3.6095 5.8381
angles (deg): 90.00 90.00 90.00
Space group Pmmm (No. 47)
Symmetry-distinct sites (fractional):
Tl 0.0000 0.0000 0.0000 x1
Fe 0.5000 0.5000 0.3000 x2
Re 0.0000 0.0000 0.5000 x1